LaHf2NiN4 after structural relaxation. Source: Alexandria via LeMat-Bulk, functional GGA-PBE.

```
data_LaHf2NiN4
_chemical_formula_sum 'La2 Hf4 Ni2 N8'
_cell_length_a 5.7594
_cell_length_b 5.7594
_cell_length_c 11.1473
_cell_angle_alpha 90.00
_cell_angle_beta 90.00
_cell_angle_gamma 147.07
_symmetry_space_group_name_H-M 'P 1'
_symmetry_Int_Tables_number 1
loop_
_symmetry_equiv_pos_as_xyz
'x,y,z'
loop_
_atom_site_label
_atom_site_type_symbol
_atom_site_fract_x
_atom_site_fract_y
_atom_site_fract_z
_atom_site_occupancy
La1 La 0.1054 0.8946 0.7500 1
La2 La 0.8946 0.1054 0.2500 1
Hf1 Hf 0.3667 0.6333 0.5549 1
Hf2 Hf 0.3667 0.6333 0.9451 1
Hf3 Hf 0.6333 0.3667 0.0549 1
Hf4 Hf 0.6333 0.3667 0.4451 1
Ni1 Ni 0.1588 0.8412 0.2500 1
Ni2 Ni 0.8412 0.1588 0.7500 1
N1 N 0.0000 0.0000 0.0000 1
N2 N 0.0000 0.0000 0.5000 1
N3 N 0.2650 0.7350 0.1083 1
N4 N 0.2650 0.7350 0.3917 1
N5 N 0.4370 0.5630 0.7500 1
N6 N 0.5630 0.4370 0.2500 1
N7 N 0.7350 0.2650 0.6083 1
N8 N 0.7350 0.2650 0.8917 1
```

## Properties
Its space-group type is Cmcm, No. 63. For the total energy, the calculation gives -9.3499 eV/atom. The value obtained for the density of states at the Fermi level is 5.71 states/eV/cell. The value obtained for the raw formation energy is -1.36 eV per atom. The calculation puts the total magnetic moment at 0.0001 μB/atom.